#a
A plane-wave DFT calculation with PBE was carried out for a geometry-optimized B2C structure.

Unit cell a=7.360 b=7.360 c=4.604 alpha=95.87 beta=95.87 gamma=21.02
Positions (direct):
B1 0.000 0.000 0.000
B2 0.293 0.293 0.423
B3 0.484 0.484 0.684
B4 0.501 0.501 0.340
B5 0.602 0.602 0.569
B6 0.611 0.611 0.192
B7 0.787 0.787 0.923
B8 0.926 0.926 0.301
C1 0.118 0.118 0.028
C2 0.151 0.151 0.724
C3 0.261 0.261 0.742
C4 0.816 0.816 0.260

- M_tot: 0.000 μB/cell

#b
A plane-wave DFT calculation with PBE was carried out for a geometry-optimized B2C structure.

Unit cell a=2.320 b=2.550 c=13.950 alpha=90.00 beta=90.00 gamma=90.00
Positions (direct):
B1 0.000 0.000 0.000
B2 0.000 0.000 0.306
B3 0.000 0.500 0.398
B4 0.000 0.500 0.710
B5 0.500 0.000 0.900
B6 0.500 0.500 0.154
B7 0.500 0.500 0.498
B8 0.500 0.500 0.808
C1 0.000 0.000 0.634
C2 0.000 0.500 0.068
C3 0.500 0.000 0.224
C4 0.500 0.000 0.572

- M_tot: 0.000 μB/cell

In terms of stability, #a leads; the second structure lies 38 meV/atom higher.